Entry 1:
Computed, not measured: an optimized crystal structure of AlSi2Ni2 at the PBE level of DFT.

Values from the calculation:
* total magnetic moment: 0.00 μB/cell
* DOS at the Fermi energy: 0.444 states/eV/atom
* symmetry: No. 127
* E_tot: -5.458 eV/atom

a = 6.995 Å, b = 6.995 Å, c = 2.582 Å
α = 90.00°, β = 90.00°, γ = 90.00°
Atoms (fractional coordinates):
Si: 0.166 0.666 0.500
Si: 0.666 0.834 0.500
Si: 0.834 0.334 0.500
Si: 0.334 0.166 0.500
Ni: 0.370 0.870 0.000
Ni: 0.130 0.370 0.000
Ni: 0.870 0.630 0.000
Ni: 0.630 0.130 0.000
Al: 0.000 0.000 0.000
Al: 0.500 0.500 0.000

=====

Entry 2:
Computed, not measured: an optimized crystal structure of YScGa2Pd5 at the PBE level of DFT.

Values from the calculation:
* total magnetic moment: 0.00 μB/cell
* DOS at the Fermi energy: 0.566 states/eV/atom
* symmetry: No. 123
* energy relative to the elements: -742 meV/atom
* E_tot: -5.721 eV/atom

a = 4.133 Å, b = 4.133 Å, c = 9.325 Å
α = 90.00°, β = 90.00°, γ = 90.00°
Atoms (fractional coordinates):
Pd: 0.500 0.000 0.275
Pd: 0.000 0.500 0.275
Pd: 0.000 0.500 0.725
Pd: 0.500 0.000 0.725
Pd: 0.500 0.500 0.500
Y: 0.000 0.000 0.500
Ga: 0.500 0.500 0.129
Ga: 0.500 0.500 0.871
Sc: 0.000 0.000 0.000

=====

Entry 3:
Computed, not measured: an optimized crystal structure of NbHgI2F at the PBE level of DFT.

Values from the calculation:
* total magnetic moment: 2.38 μB/cell
* DOS at the Fermi energy: 0.614 states/eV/atom
* symmetry: No. 123
* E_tot: -3.280 eV/atom

a = 6.054 Å, b = 4.018 Å, c = 6.054 Å
α = 90.00°, β = 90.00°, γ = 90.00°
Each line ends with the local moment (μB).
Atoms (fractional coordinates):
F: 0.000 0.000 0.000  -0.01
I: 0.500 0.000 0.000  -0.08
I: 0.000 0.000 0.500  -0.09
Hg: 0.500 0.500 0.500  -0.02
Nb: 0.000 0.500 0.000  2.17

=====

Entry 4:
Computed, not measured: an optimized crystal structure of Pm3Dy4Sc at the PBE level of DFT.

Values from the calculation:
* total magnetic moment: 0.00 μB/cell
* DOS at the Fermi energy: 1.549 states/eV/atom
* symmetry: No. 140
* distance to the lowest polymorph of the same formula: 0.0479 eV per atom
* energy relative to the elements: 78 meV/atom
* E_tot: -4.796 eV/atom

a = 8.667 Å, b = 8.667 Å, c = 9.056 Å
α = 118.59°, β = 118.59°, γ = 90.00°
Atoms (fractional coordinates):
Pm: 0.750 0.750 0.500
Pm: 0.250 0.250 0.500
Pm: 0.646 0.854 0.000
Pm: 0.146 0.646 0.000
Pm: 0.854 0.354 0.000
Pm: 0.354 0.146 0.000
Dy: 0.186 0.686 0.676
Dy: 0.686 0.490 0.676
Dy: 0.490 0.990 0.676
Dy: 0.510 0.010 0.324
Dy: 0.990 0.186 0.676
Dy: 0.010 0.814 0.324
Dy: 0.814 0.314 0.324
Dy: 0.314 0.510 0.324
Sc: 0.000 0.000 0.000
Sc: 0.500 0.500 0.000

=====

Entry 5:
Computed, not measured: an optimized crystal structure of Ce2HoRh at the PBE level of DFT.

Values from the calculation:
* total magnetic moment: 0.00 μB/cell
* DOS at the Fermi energy: 2.267 states/eV/atom
* symmetry: No. 123
* distance to the lowest polymorph of the same formula: 0.0000 eV per atom
* energy relative to the elements: -270 meV/atom
* E_tot: -6.220 eV/atom

a = 3.686 Å, b = 3.686 Å, c = 7.501 Å
α = 90.00°, β = 90.00°, γ = 90.00°
Atoms (fractional coordinates):
Rh: 0.500 0.500 0.000
Ce: 0.000 0.000 0.806
Ce: 0.000 0.000 0.194
Ho: 0.500 0.500 0.500

=====

Entry 6:
Computed, not measured: an optimized crystal structure of Dy12Sb5C2 at the PBE level of DFT.

Values from the calculation:
* total magnetic moment: 3.45 μB/cell
* DOS at the Fermi energy: 1.043 states/eV/atom
* symmetry: No. 12
* E_tot: -5.539 eV/atom

a = 7.561 Å, b = 9.167 Å, c = 9.223 Å
α = 105.55°, β = 90.00°, γ = 114.35°
Each line ends with the local moment (μB).
Atoms (fractional coordinates):
Dy: 0.598 0.717 0.439  0.08
Dy: 0.000 0.000 0.828  0.33
Dy: 0.119 0.717 0.439  0.08
Dy: 0.402 0.283 0.561  0.08
Dy: 0.093 0.696 0.921  0.23
Dy: 0.907 0.304 0.079  0.23
Dy: 0.604 0.696 0.921  0.23
Dy: 0.496 0.991 0.813  0.16
Dy: 0.881 0.283 0.561  0.08
Dy: 0.396 0.304 0.079  0.23
Dy: 0.000 0.000 0.172  0.33
Dy: 0.504 0.009 0.187  0.16
C: 0.746 0.000 0.000  -0.01
C: 0.254 0.000 0.000  -0.01
Sb: 0.295 0.589 0.650  0.00
Sb: 0.686 0.372 0.842  0.00
Sb: 0.314 0.628 0.158  0.00
Sb: 0.705 0.411 0.350  0.00
Sb: 0.000 0.000 0.500  -0.01